Computed, not measured: HoTc4B2 after structural relaxation at the GGA-PBE level of DFT.

Cell lengths 7.0826, 7.0826, 3.7069 Å; angles 90.00, 90.00, 148.87 degrees
Closest atoms and distances in Å follow each position.
Fractional coordinates of all 7 atoms:
Ho1 0.0000 0.0000 0.0000  8 B 2.82, 8 Tc 3.00-3.12
Tc1 0.1726 0.8274 0.5000  2 B 2.37
Tc2 0.3191 0.6809 0.0000  2 B 2.40, 6 Tc 2.66-2.68
Tc3 0.6809 0.3191 0.0000  2 B 2.40, 6 Tc 2.66-2.68
Tc4 0.8274 0.1726 0.5000  2 B 2.37
B1 0.4311 0.5689 0.5000  1 B 1.88
B2 0.5689 0.4311 0.5000  1 B 1.88

E_form in eV per atom: -0.155

Computed, not measured: Sr2TcPt after structural relaxation at the GGA-PBE level of DFT.

Cell lengths 3.5712, 3.6143, 8.9292 Å; angles 90.00, 90.00, 90.00 degrees
Closest atoms and distances in Å follow each position.
Fractional coordinates of all 4 atoms:
Sr1 0.0000 0.0000 0.0000  1 Tc 2.91
Sr2 0.5000 0.5000 0.4110  1 Pt 3.06
Tc1 0.0000 0.0000 0.6740  4 Pt 2.64, 1 Sr 2.91
Pt1 0.5000 0.5000 0.7540  4 Tc 2.64

E_form in eV per atom: 0.196
Energy above the lowest structure with this stoichiometry in meV per atom: 270

Computed, not measured: BiH6N2Cl after structural relaxation at the GGA-PBE level of DFT.

Cell lengths 7.8334, 7.8334, 4.9662 Å; angles 108.38, 108.38, 99.65 degrees
Closest atoms and distances in Å follow each position.
Fractional coordinates of all 20 atoms:
Bi1 0.0858 0.9142 0.7500  2 N 2.55
Bi2 0.9142 0.0858 0.2500  2 N 2.55
H1 0.2060 0.4583 0.7488  1 N 1.03
H2 0.2069 0.4593 0.4183  1 N 1.03
H3 0.3315 0.3465 0.5898  1 N 1.03
H4 0.3465 0.3315 0.0898  1 N 1.03
H5 0.4583 0.2060 0.2488  1 N 1.03
H6 0.4593 0.2069 0.9183  1 N 1.03
H7 0.5407 0.7931 0.0817  1 N 1.03
H8 0.5417 0.7940 0.7512  1 N 1.03
H9 0.6535 0.6685 0.9102  1 N 1.03
H10 0.6685 0.6535 0.4102  1 N 1.03
H11 0.7931 0.5407 0.5817  1 N 1.03
H12 0.7940 0.5417 0.2512  1 N 1.03
N1 0.2040 0.3741 0.5398  3 H 1.03
N2 0.3741 0.2040 0.0398  3 H 1.03
N3 0.6259 0.7960 0.9602  3 H 1.03
N4 0.7960 0.6259 0.4602  3 H 1.03
Cl1 0.3197 0.6803 0.2500  4 H 2.31-2.32
Cl2 0.6803 0.3197 0.7500  4 H 2.31-2.32

VASP energy in eV per atom: -4.6863

Computed, not measured: AlSiTe3 after structural relaxation at the GGA-PBE level of DFT.

Cell lengths 5.2989, 5.2989, 5.2989 Å; angles 90.00, 90.00, 90.00 degrees
Closest atoms and distances in Å follow each position.
Fractional coordinates of all 5 atoms:
Al1 0.0000 0.0000 0.0000  12 Te 3.75
Si1 0.5000 0.5000 0.5000  6 Te 2.65
Te1 0.0000 0.5000 0.5000  2 Si 2.65
Te2 0.5000 0.0000 0.5000  2 Si 2.65
Te3 0.5000 0.5000 0.0000  2 Si 2.65

Energy relative to the elements, uncorrected in eV per atom: 0.4452
Energy above the lowest structure with this stoichiometry in meV per atom: 714